Computed, not measured: crystalline Pr4Zn2Ga at its relaxed geometry at the GGA-PBE level of DFT. Values from VASP.

Calculated values
Space-group type   R-3m (166)
ΔH_f (0 K)   -0.25 eV/atom
Final energy   -3.78 eV/atom

```
&SYSTEM
  ibrav = 0, nat = 7, ntyp = 3
/
ATOMIC_SPECIES
Pr 140.91 Pr.upf
Zn 65.41 Zn.upf
Ga 69.72 Ga.upf
CELL_PARAMETERS angstrom
4.9702 0.0000 1.5528
2.2425 4.4355 1.5528
-0.0541 -0.0333 8.9039
ATOMIC_POSITIONS crystal
Pr 0.1281 0.1281 0.6156
Pr 0.6201 0.6201 0.1398
Pr 0.3799 0.3799 0.8602
Pr 0.8719 0.8719 0.3844
Zn 0.2527 0.2527 0.2420
Zn 0.7473 0.7473 0.7580
Ga 0.0000 0.0000 0.0000
```


Computed, not measured: crystalline Pr2Zn3Ga2 at its relaxed geometry at the GGA-PBE level of DFT. Values from VASP.

Calculated values
Space-group type   C2/m (12)
ΔH_f (0 K)   -0.45 eV/atom
Relative energy among the computed polymorphs   0.0000 eV per atom
Final energy   -3.23 eV/atom

```
&SYSTEM
  ibrav = 0, nat = 7, ntyp = 3
/
ATOMIC_SPECIES
Pr 140.91 Pr.upf
Zn 65.41 Zn.upf
Ga 69.72 Ga.upf
CELL_PARAMETERS angstrom
4.4730 0.0000 0.0000
-2.2365 5.1068 -1.6298
0.0000 -0.3937 6.6267
ATOMIC_POSITIONS crystal
Pr 0.8483 0.6966 0.2343
Pr 0.1517 0.3034 0.7657
Zn 0.5907 0.1815 0.4167
Zn 0.5000 0.0000 0.0000
Zn 0.4093 0.8185 0.5833
Ga 0.1520 0.3039 0.2603
Ga 0.8480 0.6961 0.7397
```


Computed, not measured: crystalline Pr2Zn12Ga5 at its relaxed geometry at the GGA-PBE level of DFT. Values from VASP.

Calculated values
Space-group type   R-3m (166)
ΔH_f (0 K)   -0.21 eV/atom
Final energy   -2.31 eV/atom

```
&SYSTEM
  ibrav = 0, nat = 19, ntyp = 3
/
ATOMIC_SPECIES
Ga 69.72 Ga.upf
Zn 65.41 Zn.upf
Pr 140.91 Pr.upf
CELL_PARAMETERS angstrom
6.9346 -0.0101 0.5726
0.5264 6.9146 0.5726
-0.0110 -0.0101 6.9582
ATOMIC_POSITIONS crystal
Ga 0.0000 0.0000 0.5000
Ga 0.0978 0.0978 0.0978
Ga 0.9022 0.9022 0.9022
Ga 0.0000 0.5000 0.0000
Ga 0.5000 0.0000 0.0000
Zn 0.3123 0.0000 0.6877
Zn 0.6493 0.1744 0.6493
Zn 0.6877 0.3123 0.0000
Zn 0.8256 0.3507 0.3507
Zn 0.6493 0.6493 0.1744
Zn 0.3507 0.3507 0.8256
Zn 0.3123 0.6877 0.0000
Zn 0.0000 0.3123 0.6877
Zn 0.1744 0.6493 0.6493
Zn 0.0000 0.6877 0.3123
Zn 0.6877 0.0000 0.3123
Zn 0.3507 0.8256 0.3507
Pr 0.6682 0.6682 0.6682
Pr 0.3318 0.3318 0.3318
```


Computed, not measured: crystalline Pr2Zn2Ga3 at its relaxed geometry at the GGA-PBE level of DFT. Values from VASP.

Calculated values
Space-group type   Cmcm (63)
ΔH_f (0 K)   -0.55 eV/atom
Final energy   -3.58 eV/atom

```
&SYSTEM
  ibrav = 0, nat = 14, ntyp = 3
/
ATOMIC_SPECIES
Ga 69.72 Ga.upf
Zn 65.41 Zn.upf
Pr 140.91 Pr.upf
CELL_PARAMETERS angstrom
4.3420 0.0000 -1.0352
0.0000 7.0657 0.0000
0.0413 0.0000 9.7967
ATOMIC_POSITIONS crystal
Ga 0.7774 0.2500 0.5548
Ga 0.5593 0.4270 0.1185
Ga 0.2226 0.7500 0.4452
Ga 0.4407 0.5730 0.8815
Ga 0.4407 0.9270 0.8815
Ga 0.5593 0.0730 0.1185
Zn 0.6825 0.5656 0.3651
Zn 0.6825 0.9344 0.3651
Zn 0.3175 0.0656 0.6349
Zn 0.3175 0.4344 0.6349
Pr 0.9492 0.2500 0.8984
Pr 0.0508 0.7500 0.1016
Pr 0.8398 0.7500 0.6796
Pr 0.1602 0.2500 0.3204
```


Computed, not measured: crystalline PrZn6Ga2 at its relaxed geometry at the GGA-PBE level of DFT. Values from VASP.

Calculated values
Space-group type   P4/mmm (123)
ΔH_f (0 K)   -0.24 eV/atom
Final energy   -2.29 eV/atom

```
&SYSTEM
  ibrav = 0, nat = 9, ntyp = 3
/
ATOMIC_SPECIES
Zn 65.41 Zn.upf
Ga 69.72 Ga.upf
Pr 140.91 Pr.upf
CELL_PARAMETERS angstrom
-0.9696 -3.8984 1.1518
1.8228 0.6414 3.7055
-7.8078 2.9270 3.3341
ATOMIC_POSITIONS crystal
Zn 0.5000 0.5000 0.5000
Zn 0.5000 0.0000 0.3032
Zn 0.0000 0.5000 0.6968
Zn 0.0000 0.5000 0.3032
Zn 0.5000 0.0000 0.6968
Zn 0.0000 0.0000 0.5000
Ga 0.5000 0.5000 0.1388
Ga 0.5000 0.5000 0.8612
Pr 0.0000 0.0000 0.0000
```


Computed, not measured: crystalline Pr5ZnGa4 at its relaxed geometry at the GGA-PBE level of DFT. Values from VASP.

Calculated values
Space-group type   P4/mmm (123)
ΔH_f (0 K)   -0.49 eV/atom
Final energy   -4.22 eV/atom

```
&SYSTEM
  ibrav = 0, nat = 10, ntyp = 3
/
ATOMIC_SPECIES
Pr 140.91 Pr.upf
Ga 69.72 Ga.upf
Zn 65.41 Zn.upf
CELL_PARAMETERS angstrom
3.7103 0.0000 0.0000
0.0000 3.7103 0.0000
0.0000 0.0000 18.7866
ATOMIC_POSITIONS crystal
Pr 0.5000 0.5000 0.9006
Pr 0.5000 0.5000 0.7003
Pr 0.5000 0.5000 0.0994
Pr 0.5000 0.5000 0.2997
Pr 0.5000 0.5000 0.5000
Ga 0.0000 0.0000 0.8025
Ga 0.0000 0.0000 0.4000
Ga 0.0000 0.0000 0.1975
Ga 0.0000 0.0000 0.6000
Zn 0.0000 0.0000 0.0000
```


Computed, not measured: crystalline Pr5ZnGa2 at its relaxed geometry at the GGA-PBE level of DFT. Values from VASP.

Calculated values
Space-group type   I4/mmm (139)
ΔH_f (0 K)   -0.26 eV/atom
Relative energy among the computed polymorphs   0.0791 eV per atom
Final energy   -4.17 eV/atom

```
&SYSTEM
  ibrav = 0, nat = 8, ntyp = 3
/
ATOMIC_SPECIES
Pr 140.91 Pr.upf
Ga 69.72 Ga.upf
Zn 65.41 Zn.upf
CELL_PARAMETERS angstrom
7.0813 0.0020 -0.0005
0.0021 7.0813 -0.0006
-3.5420 -3.5421 4.4031
ATOMIC_POSITIONS crystal
Pr 0.2222 0.2222 0.9443
Pr 0.7221 0.7221 0.9442
Pr 0.2222 0.7221 0.9443
Pr 0.7221 0.2222 0.9443
Pr 0.7222 0.7222 0.4444
Ga 0.2221 0.7221 0.4443
Ga 0.7221 0.2221 0.4443
Zn 0.2219 0.2219 0.4440
```


Computed, not measured: crystalline PrZn2Ga at its relaxed geometry at the GGA-PBE level of DFT. Values from VASP.

Calculated values
Space-group type   Amm2 (38)
ΔH_f (0 K)   -0.43 eV/atom
Final energy   -3.02 eV/atom

```
&SYSTEM
  ibrav = 0, nat = 8, ntyp = 3
/
ATOMIC_SPECIES
Zn 65.41 Zn.upf
Pr 140.91 Pr.upf
Ga 69.72 Ga.upf
CELL_PARAMETERS angstrom
4.6141 0.0000 0.0000
-2.3070 5.2564 0.0000
0.0000 0.0000 6.6545
ATOMIC_POSITIONS crystal
Zn 0.8663 0.7326 0.0000
Zn 0.0466 0.0931 0.6904
Zn 0.4710 0.9420 0.5000
Zn 0.0466 0.0931 0.3096
Pr 0.7703 0.5407 0.5000
Pr 0.5648 0.1296 0.0000
Ga 0.2816 0.5631 0.1951
Ga 0.2816 0.5631 0.8049
```


Computed, not measured: crystalline PrZn5Ga7 at its relaxed geometry at the GGA-PBE level of DFT. Values from VASP.

Calculated values
Space-group type   Imm2 (44)
ΔH_f (0 K)   -0.13 eV/atom
Final energy   -2.62 eV/atom

```
&SYSTEM
  ibrav = 0, nat = 13, ntyp = 3
/
ATOMIC_SPECIES
Pr 140.91 Pr.upf
Ga 69.72 Ga.upf
Zn 65.41 Zn.upf
CELL_PARAMETERS angstrom
-2.4137 -3.4081 4.0258
-4.1210 -5.0410 -2.5593
3.7970 -5.6271 1.6919
ATOMIC_POSITIONS crystal
Pr 0.9986 0.0014 0.0014
Ga 0.9989 0.3536 0.6485
Ga 0.5010 0.7938 0.2043
Ga 0.2796 0.2204 0.2204
Ga 0.3548 0.6452 0.6452
Ga 0.5010 0.2043 0.7938
Ga 0.6465 0.3535 0.3535
Ga 0.9989 0.6485 0.3536
Zn 0.9984 0.9979 0.5019
Zn 0.9984 0.5019 0.9979
Zn 0.5018 0.5019 0.9979
Zn 0.7202 0.7798 0.7798
Zn 0.5018 0.9979 0.5019
```


Computed, not measured: crystalline Pr2ZnGa at its relaxed geometry at the GGA-PBE level of DFT. Values from VASP.

Calculated values
Space-group type   R-3m (166)
ΔH_f (0 K)   0.07 eV/atom
Final energy   -3.40 eV/atom

```
&SYSTEM
  ibrav = 0, nat = 4, ntyp = 3
/
ATOMIC_SPECIES
Pr 140.91 Pr.upf
Zn 65.41 Zn.upf
Ga 69.72 Ga.upf
CELL_PARAMETERS angstrom
-0.7948 -2.2130 2.7425
2.2611 -2.6788 0.8730
5.7020 5.0081 8.0731
ATOMIC_POSITIONS crystal
Pr 0.0978 0.0978 0.7065
Pr 0.9022 0.9022 0.2935
Zn 0.0000 0.0000 0.0000
Ga 0.5000 0.5000 0.5000
```


Computed, not measured: crystalline PrZn2Ga at its relaxed geometry at the GGA-PBE level of DFT. Values from VASP.

Calculated values
Space-group type   Fm-3m (225)
ΔH_f (0 K)   -0.28 eV/atom
Final energy   -2.86 eV/atom

```
&SYSTEM
  ibrav = 0, nat = 4, ntyp = 3
/
ATOMIC_SPECIES
Zn 65.41 Zn.upf
Ga 69.72 Ga.upf
Pr 140.91 Pr.upf
CELL_PARAMETERS angstrom
-0.7253 -1.6814 -4.5048
3.1088 -3.2028 -1.9297
-1.3738 -4.6147 -0.6810
ATOMIC_POSITIONS crystal
Zn 0.2500 0.2500 0.2500
Zn 0.7500 0.7500 0.7500
Ga 0.5000 0.5000 0.5000
Pr 0.0000 0.0000 0.0000
```